The following is a DFT calculation (GGA-PBE) of BaCd7Ag5 after structural relaxation.

a b c (Å): 5.623 10.238 10.146
angles (deg): 90.00 90.00 90.00
Space group Imm2 (No. 44)
Unique sites:
Ba 0.000 0.000 0.000 (multiplicity 2)
Cd 0.000 0.000 0.357 (multiplicity 2)
Cd 0.000 0.000 0.651 (multiplicity 2)
Cd 0.000 0.283 0.503 (multiplicity 4)
Cd 0.000 0.354 0.009 (multiplicity 4)
Cd 0.000 0.500 0.731 (multiplicity 2)
Ag 0.000 0.500 0.281 (multiplicity 2)
Ag 0.250 0.249 0.754 (multiplicity 8)

Total energy in eV per atom: -1.870
Density in g/cm3: 8.3
Total magnetization in μB/f.u.: 0.00



The following is a DFT calculation (GGA-PBE) of Ni2PtN after structural relaxation.

a b c (Å): 2.7509 2.7509 21.8031
angles (deg): 90.00 90.00 120.00
Space group R-3m (No. 166, hexagonal axes)
Unique sites:
Ni 0.0000 0.0000 0.1166 (multiplicity 6)
Pt 0.0000 0.0000 0.0000 (multiplicity 3)
N 0.0000 0.0000 0.5000 (multiplicity 3)

Total energy in eV per atom: -6.135
Density in g/cm3: 11.4
Total magnetization in μB/f.u.: 0.00
Raw formation energy in meV/atom: 347



The following is a DFT calculation (GGA-PBE) of TmThRh after structural relaxation.

a b c (Å): 13.889 3.978 5.849
angles (deg): 90.00 100.06 90.00
Space group C2/m (No. 12)
Unique sites:
Tm 0.079 0.000 0.279 (multiplicity 4)
Th 0.151 0.500 0.803 (multiplicity 4)
Rh 0.228 0.500 0.314 (multiplicity 4)

Total energy in eV per atom: -7.005
Offset from the most stable computed form in eV/f.u.: 0.00
Density in g/cm3: 10.5
Total magnetization in μB/f.u.: 0.00